Entry 1:
First-principles (PBE-GGA) data for NdPuCdGa after structural relaxation, as listed in Alexandria.

Cell lengths 5.289, 5.289, 5.289 Å; angles 60.00, 60.00, 60.00 degrees
Fractional coordinates of all 4 atoms:
Nd 0.000 0.000 0.000
Pu 0.500 0.500 0.500
Cd 0.250 0.250 0.250
Ga 0.750 0.750 0.750

Calculated values
**ΔE_f**: -0.234 eV per atom
**Size of the total moment**: 6.31 μB/f.u.
**Raw total energy**: -23.98 eV for the cell shown
**N(E_F)**: 8.32 states/eV per cell
**Space-group type**: No. 216


Entry 2:
First-principles (PBE-GGA) data for K3HfZn after structural relaxation, as listed in Alexandria.

Cell lengths 6.911, 6.911, 6.911 Å; angles 90.00, 90.00, 90.00 degrees
Fractional coordinates of all 5 atoms:
K 0.000 0.000 0.500
K 0.000 0.500 0.000
K 0.500 0.000 0.000
Hf 0.000 0.000 0.000
Zn 0.500 0.500 0.500

Calculated values
**Polymorph energy (0 for the lowest one)**: 0.128 eV per atom
**ΔE_f**: 1.272 eV per atom
**Size of the total moment**: 5.00 μB/f.u.
**Raw total energy**: -8.16 eV for the cell shown
**N(E_F)**: 5.82 states/eV per cell
**Space-group type**: No. 221


Entry 3:
First-principles (PBE-GGA) data for CaFeRu2 after structural relaxation, as listed in Alexandria.

Cell lengths 8.919, 8.919, 8.919 Å; angles 18.85, 18.85, 18.85 degrees
Fractional coordinates of all 4 atoms:
Ca 0.000 0.000 0.000
Fe 0.500 0.500 0.500
Ru 0.240 0.240 0.240
Ru 0.760 0.760 0.760

Calculated values
**ΔE_f**: 0.530 eV per atom
**Size of the total moment**: 3.73 μB/f.u.
**Raw total energy**: -26.90 eV for the cell shown
**N(E_F)**: 4.03 states/eV per cell
**Space-group type**: No. 166